[1]
VASP calculation (GGA-PBE) on a relaxed Zn3TeO6 crystal.

```
data_Zn3TeO6
_chemical_formula_sum 'Zn18 Te6 O36'
_symmetry_space_group_name_H-M 'P 1'
_symmetry_Int_Tables_number 1
_cell_length_a 8.7928
_cell_length_b 8.7928
_cell_length_c 10.5344
_cell_angle_alpha 87.60
_cell_angle_beta 87.60
_cell_angle_gamma 61.35
loop_
_symmetry_equiv_pos_as_xyz
'x,y,z'
loop_
_atom_site_label
_atom_site_fract_x
_atom_site_fract_y
_atom_site_fract_z
_atom_site_occupancy
Zn1 0.2014 0.7986 0.7500 1
Zn2 0.7986 0.2014 0.2500 1
Zn3 0.6226 0.3228 0.5523 1
Zn4 0.6772 0.3774 0.9477 1
Zn5 0.3774 0.6772 0.4477 1
Zn6 0.3228 0.6226 0.0523 1
Zn7 0.9985 0.2728 0.7427 1
Zn8 0.7272 0.0015 0.7573 1
Zn9 0.0015 0.7272 0.2573 1
Zn10 0.2728 0.9985 0.2427 1
Zn11 0.9351 0.6572 0.9255 1
Zn12 0.3428 0.0649 0.5745 1
Zn13 0.0649 0.3428 0.0745 1
Zn14 0.6572 0.9351 0.4255 1
Zn15 0.0998 0.5761 0.5589 1
Zn16 0.4239 0.9002 0.9411 1
Zn17 0.9002 0.4239 0.4411 1
Zn18 0.5761 0.0998 0.0589 1
Te1 0.0000 0.0000 0.5000 1
Te2 0.0000 0.0000 0.0000 1
Te3 0.3340 0.3373 0.8055 1
Te4 0.6627 0.6660 0.6945 1
Te5 0.6660 0.6627 0.1945 1
Te6 0.3373 0.3340 0.3055 1
O1 0.9100 0.2319 0.5716 1
O2 0.7681 0.0900 0.9284 1
O3 0.0900 0.7681 0.4284 1
O4 0.2319 0.9100 0.0716 1
O5 0.5737 0.5700 0.5729 1
O6 0.4300 0.4263 0.9271 1
O7 0.4263 0.4300 0.4271 1
O8 0.5700 0.5737 0.0729 1
O9 0.7686 0.4524 0.7995 1
O10 0.5476 0.2314 0.7005 1
O11 0.2314 0.5476 0.2005 1
O12 0.4524 0.7686 0.2995 1
O13 0.8789 0.5686 0.5946 1
O14 0.4314 0.1211 0.9054 1
O15 0.2411 0.5555 0.7049 1
O16 0.1211 0.4314 0.4054 1
O17 0.2228 0.2587 0.6831 1
O18 0.7413 0.7772 0.8169 1
O19 0.7772 0.7413 0.3169 1
O20 0.2587 0.2228 0.1831 1
O21 0.1135 0.4132 0.9004 1
O22 0.5868 0.8865 0.5996 1
O23 0.8865 0.5868 0.0996 1
O24 0.4132 0.1135 0.4004 1
O25 0.9064 0.9528 0.1576 1
O26 0.0472 0.0936 0.3424 1
O27 0.0936 0.0472 0.8424 1
O28 0.9528 0.9064 0.6576 1
O29 0.7626 0.0903 0.4402 1
O30 0.9097 0.2374 0.0598 1
O31 0.2374 0.9097 0.5598 1
O32 0.0903 0.7626 0.9402 1
O33 0.5555 0.2411 0.2049 1
O34 0.7589 0.4445 0.2951 1
O35 0.4445 0.7589 0.7951 1
O36 0.5686 0.8789 0.0946 1
```

space group	No. 15
formation energy (no corrections)	-12.747	eV/f.u.
energy above the lowest structure with this stoichiometry	0	meV/atom


[2]
VASP calculation (GGA-PBE) on a relaxed Zn3TeO3 crystal.

```
data_Zn3TeO3
_chemical_formula_sum 'Zn6 Te2 O6'
_symmetry_space_group_name_H-M 'P 1'
_symmetry_Int_Tables_number 1
_cell_length_a 5.8344
_cell_length_b 5.8344
_cell_length_c 5.8344
_cell_angle_alpha 90.00
_cell_angle_beta 90.00
_cell_angle_gamma 90.00
loop_
_symmetry_equiv_pos_as_xyz
'x,y,z'
loop_
_atom_site_label
_atom_site_fract_x
_atom_site_fract_y
_atom_site_fract_z
_atom_site_occupancy
Zn1 0.2500 0.0000 0.5000 1
Zn2 0.7500 0.0000 0.5000 1
Zn3 0.0000 0.5000 0.2500 1
Zn4 0.0000 0.5000 0.7500 1
Zn5 0.5000 0.2500 0.0000 1
Zn6 0.5000 0.7500 0.0000 1
Te1 0.0000 0.0000 0.0000 1
Te2 0.5000 0.5000 0.5000 1
O1 0.2500 0.5000 0.0000 1
O2 0.7500 0.5000 0.0000 1
O3 0.5000 0.0000 0.2500 1
O4 0.5000 0.0000 0.7500 1
O5 0.0000 0.2500 0.5000 1
O6 0.0000 0.7500 0.5000 1
```

space group	No. 223
formation energy (no corrections)	-5.720	eV/f.u.


[3]
VASP calculation (GGA-PBE) on a relaxed ZnTe2O2 crystal.

```
data_ZnTe2O2
_chemical_formula_sum 'Zn1 Te2 O2'
_symmetry_space_group_name_H-M 'P 1'
_symmetry_Int_Tables_number 1
_cell_length_a 3.6860
_cell_length_b 3.6860
_cell_length_c 6.7386
_cell_angle_alpha 74.13
_cell_angle_beta 74.13
_cell_angle_gamma 90.00
loop_
_symmetry_equiv_pos_as_xyz
'x,y,z'
loop_
_atom_site_label
_atom_site_fract_x
_atom_site_fract_y
_atom_site_fract_z
_atom_site_occupancy
Zn1 0.0000 0.0000 0.0000 1
Te1 0.3645 0.3645 0.2711 1
Te2 0.6355 0.6355 0.7289 1
O1 0.7500 0.2500 0.5000 1
O2 0.2500 0.7500 0.5000 1
```

space group	No. 139
formation energy (no corrections)	0.132	eV/f.u.
energy above the lowest structure with this stoichiometry	283	meV/atom


[4]
VASP calculation (GGA-PBE) on a relaxed ZnTe2O5 crystal.

```
data_ZnTe2O5
_chemical_formula_sum 'Zn8 Te16 O40'
_symmetry_space_group_name_H-M 'P 1'
_symmetry_Int_Tables_number 1
_cell_length_a 8.8850
_cell_length_b 8.8850
_cell_length_c 12.8915
_cell_angle_alpha 90.00
_cell_angle_beta 90.00
_cell_angle_gamma 90.00
loop_
_symmetry_equiv_pos_as_xyz
'x,y,z'
loop_
_atom_site_label
_atom_site_fract_x
_atom_site_fract_y
_atom_site_fract_z
_atom_site_occupancy
Zn1 0.5000 0.0000 0.0000 1
Zn2 0.5000 0.0000 0.7500 1
Zn3 0.5000 0.0000 0.2500 1
Zn4 0.5000 0.0000 0.5000 1
Zn5 0.0000 0.5000 0.7500 1
Zn6 0.0000 0.5000 0.0000 1
Zn7 0.0000 0.5000 0.2500 1
Zn8 0.0000 0.5000 0.5000 1
Te1 0.2847 0.3203 0.1350 1
Te2 0.2847 0.6797 0.3650 1
Te3 0.3203 0.7153 0.8650 1
Te4 0.3203 0.2847 0.6350 1
Te5 0.6797 0.2847 0.8650 1
Te6 0.6797 0.7153 0.6350 1
Te7 0.7153 0.3203 0.3650 1
Te8 0.7153 0.6797 0.1350 1
Te9 0.7847 0.8203 0.3650 1
Te10 0.7847 0.1797 0.1350 1
Te11 0.8203 0.7847 0.8650 1
Te12 0.8203 0.2153 0.6350 1
Te13 0.1797 0.7847 0.6350 1
Te14 0.1797 0.2153 0.8650 1
Te15 0.2153 0.8203 0.1350 1
Te16 0.2153 0.1797 0.3650 1
O1 0.2617 0.8735 0.2995 1
O2 0.2617 0.1265 0.2005 1
O3 0.2961 0.2039 0.0000 1
O4 0.2961 0.7961 0.5000 1
O5 0.3652 0.9256 0.8806 1
O6 0.3652 0.0744 0.6194 1
O7 0.3735 0.2383 0.7995 1
O8 0.3735 0.7617 0.7005 1
O9 0.4256 0.8652 0.1194 1
O10 0.4256 0.1348 0.3806 1
O11 0.5744 0.8652 0.3806 1
O12 0.5744 0.1348 0.1194 1
O13 0.6265 0.7617 0.7995 1
O14 0.6265 0.2383 0.7005 1
O15 0.6348 0.0744 0.8806 1
O16 0.6348 0.9256 0.6194 1
O17 0.7039 0.7961 0.0000 1
O18 0.7039 0.2039 0.5000 1
O19 0.7383 0.8735 0.2005 1
O20 0.7383 0.1265 0.2995 1
O21 0.7617 0.3735 0.2005 1
O22 0.7617 0.6265 0.2995 1
O23 0.7961 0.2961 0.0000 1
O24 0.7961 0.7039 0.5000 1
O25 0.8652 0.4256 0.6194 1
O26 0.8652 0.5744 0.8806 1
O27 0.8735 0.2617 0.7995 1
O28 0.8735 0.7383 0.7005 1
O29 0.9256 0.3652 0.3806 1
O30 0.9256 0.6348 0.1194 1
O31 0.0744 0.3652 0.1194 1
O32 0.0744 0.6348 0.3806 1
O33 0.1265 0.2617 0.7005 1
O34 0.1265 0.7383 0.7995 1
O35 0.1348 0.4256 0.8806 1
O36 0.1348 0.5744 0.6194 1
O37 0.2039 0.2961 0.5000 1
O38 0.2039 0.7039 0.0000 1
O39 0.2383 0.3735 0.2995 1
O40 0.2383 0.6265 0.2005 1
```

space group	No. 133
formation energy (no corrections)	-8.966	eV/f.u.
energy above the lowest structure with this stoichiometry	9	meV/atom


[5]
VASP calculation (GGA-PBE) on a relaxed ZnTe3O crystal.

```
data_ZnTe3O
_chemical_formula_sum 'Zn1 Te3 O1'
_symmetry_space_group_name_H-M 'P 1'
_symmetry_Int_Tables_number 1
_cell_length_a 4.8364
_cell_length_b 4.8364
_cell_length_c 4.8364
_cell_angle_alpha 90.00
_cell_angle_beta 90.00
_cell_angle_gamma 90.00
loop_
_symmetry_equiv_pos_as_xyz
'x,y,z'
loop_
_atom_site_label
_atom_site_fract_x
_atom_site_fract_y
_atom_site_fract_z
_atom_site_occupancy
Zn1 0.5000 0.5000 0.5000 1
Te1 0.0000 0.5000 0.0000 1
Te2 0.0000 0.0000 0.5000 1
Te3 0.5000 0.0000 0.0000 1
O1 0.0000 0.0000 0.0000 1
```

space group	No. 221
formation energy (no corrections)	1.186	eV/f.u.
energy above the lowest structure with this stoichiometry	0	meV/atom


[6]
VASP calculation (GGA-PBE) on a relaxed Zn3TeO6 crystal.

```
data_Zn3TeO6
_chemical_formula_sum 'Zn3 Te1 O6'
_symmetry_space_group_name_H-M 'P 1'
_symmetry_Int_Tables_number 1
_cell_length_a 5.2709
_cell_length_b 5.2709
_cell_length_c 5.5761
_cell_angle_alpha 61.79
_cell_angle_beta 61.79
_cell_angle_gamma 60.00
loop_
_symmetry_equiv_pos_as_xyz
'x,y,z'
loop_
_atom_site_label
_atom_site_fract_x
_atom_site_fract_y
_atom_site_fract_z
_atom_site_occupancy
Zn1 0.3613 0.3613 0.9162 1
Zn2 0.6312 0.6312 0.1064 1
Zn3 0.1408 0.1408 0.5777 1
Te1 0.8459 0.8459 0.4624 1
O1 0.9497 0.5837 0.2484 1
O2 0.2182 0.9497 0.2484 1
O3 0.5837 0.2182 0.2484 1
O4 0.0507 0.4681 0.7307 1
O5 0.7505 0.0507 0.7307 1
O6 0.4681 0.7505 0.7307 1
```

space group	No. 146
formation energy (no corrections)	-12.442	eV/f.u.
energy above the lowest structure with this stoichiometry	30	meV/atom


no.,ρ (Mg/m³)
1,5.86
2,6.22
3,6.93
4,5.23
5,6.81
6,6.20